Here is a relaxed AlCrI2N crystal from Alexandria via LeMat-Bulk. Energies are from PBE-GGA.

Cell and atoms, written as POSCAR:
```
AlCrI2N
1.0
5.769 0.000 0.000
0.000 5.769 0.000
0.000 0.000 3.563
Al Cr I N
1 1 2 1
Direct
0.000 0.000 0.000
0.500 0.500 0.500
0.000 0.500 0.000
0.500 0.000 0.000
0.000 0.000 0.500
```

Properties
Total moment: 4.357 μB per formula unit
Mass density: 4.86 g/cm³
Uncorrected formation energy: 0.38 eV/atom
Symmetry: No. 123
ΔE to the lowest computed polymorph: 195 meV/atom
Raw total energy: -4.5820 eV/atom